1.
Material: KLiIr2
Method: DFT, PBE
State: optimized geometry

The calculated volume is 17.76 Å³/atom. The excess energy over the best structure of this formula in the dataset is 388 meV/atom. The value obtained for the density of states at the Fermi level is 9.71 states/eV per cell.

It has space group Cmmm (No. 65), with a = 5.276 Å, b = 10.088 Å, c = 2.669 Å, α = 90.00°, β = 90.00° and γ = 90.00°. The asymmetric unit holds K at (0.000, 0.000, 0.000), Li at (0.000, 0.500, 0.000) and Ir at (0.250, 0.250, 0.500).

2.
Material: KLiIr2
Method: DFT, PBE
State: optimized geometry

The calculated volume is 20.78 Å³/atom. The excess energy over the best structure of this formula in the dataset is 27 meV/atom. The value obtained for the density of states at the Fermi level is 6.22 states/eV per cell.

It has space group Cm (No. 8), with a = 8.841 Å, b = 2.836 Å, c = 6.670 Å, α = 90.00°, β = 96.15° and γ = 90.00°. The asymmetric unit holds K at (0.000, 0.000, 0.000), Li at (0.219, 0.000, 0.659), Ir at (0.260, 0.500, 0.358) and Ir at (0.498, 0.000, 0.455).

3.
Material: KLiIr3
Method: DFT, PBE
State: optimized geometry

The calculated volume is 16.84 Å³/atom. The excess energy over the best structure of this formula in the dataset is 0 meV/atom. The value obtained for the density of states at the Fermi level is 5.01 states/eV per cell.

It has space group Pm-3m (No. 221), with a = 4.383 Å, b = 4.383 Å, c = 4.383 Å, α = 90.00°, β = 90.00° and γ = 90.00°. The asymmetric unit holds K at (0.000, 0.000, 0.000), Li at (0.500, 0.500, 0.500) and Ir at (0.000, 0.500, 0.500).

> Look up the excess energy over the best structure of this formula in the dataset of the second one.

27 meV/atom